[1]
The following is a DFT calculation (PBE-GGA) of a relaxed HgBiPb crystal.

a b c (Å): 3.451 5.532 9.841
angles (deg): 90.00 97.71 90.00
Sites, in units of the cell vectors:
Hg (0.114, 0.000, 0.435)
Hg (0.886, 0.500, 0.565)
Bi (0.308, 0.499, 0.901)
Bi (0.692, 0.999, 0.099)
Pb (0.336, 0.499, 0.237)
Pb (0.664, 0.999, 0.763)

Energy of formation from the pure elements, kJ per mole of atoms: 1.54
Crystal system: monoclinic
D(E_F), states/eV/cell: 1.73
E above lowest polymorph, meV per atom: 4
Symmetry: P2_1 (4)
E, Ry/atom: -0.1922

[2]
The following is a DFT calculation (PBE-GGA) of a relaxed KRb2In2 crystal.

a b c (Å): 9.113 9.113 6.179
angles (deg): 90.00 90.00 90.00
Sites, in units of the cell vectors:
K (0.000, 0.000, 0.000)
K (0.500, 0.500, 0.000)
Rb (0.174, 0.326, 0.500)
Rb (0.326, 0.826, 0.500)
Rb (0.674, 0.174, 0.500)
Rb (0.826, 0.674, 0.500)
In (0.110, 0.610, 0.000)
In (0.390, 0.110, 0.000)
In (0.610, 0.890, 0.000)
In (0.890, 0.390, 0.000)

Energy of formation from the pure elements, kJ per mole of atoms: 3.30
Crystal system: tetragonal
D(E_F), states/eV/cell: 8.86
E above lowest polymorph, meV per atom: 56
Symmetry: P4/mbm (127)
E, Ry/atom: -0.1226